AlNiHgIr | OQMD | PBE | relaxed; theoretical density = 13.0 Mg/m³; symmetry = F-43m, No. 216; uncorrected energy = -70.9 eV per cell
1.0
6.250 0.000 0.000
0.000 6.250 0.000
0.000 0.000 6.250
Al Ni Hg Ir
4 4 4 4
Cartesian
0.000 0.000 0.000
0.000 3.125 3.125
3.125 0.000 3.125
3.125 3.125 0.000
1.563 1.563 1.563
1.563 4.688 4.688
4.688 1.563 4.688
4.688 4.688 1.563
1.563 1.563 4.688
1.563 4.688 1.563
4.688 1.563 1.563
4.688 4.688 4.688
0.000 0.000 3.125
0.000 3.125 0.000
3.125 0.000 0.000
3.125 3.125 3.125